{"formula": "In2Ir2Au", "functional": "PBE-GGA", "state": "optimized geometry", "lattice_angstrom": [[-2.111, 2.111, 5.765], [2.111, -2.111, 5.765], [2.111, 2.111, -5.765]], "species": ["Au", "In", "In", "Ir", "Ir"], "fractional_positions": [[0.000, 0.000, 0.000], [0.750, 0.250, 0.500], [0.250, 0.750, 0.500], [0.393, 0.393, 0.000], [0.607, 0.607, 0.000]], "space_group": "I4/mmm", "relative_energy_mev_per_atom": 102}

***

{"formula": "Li4In2IrAu", "functional": "PBE-GGA", "state": "optimized geometry", "lattice_angstrom": [[-2.171, 1.962, 3.432], [-3.690, 0.400, -2.562], [-2.012, -5.730, 2.003]], "species": ["Au", "In", "In", "Ir", "Li", "Li", "Li", "Li"], "fractional_positions": [[0.000, 0.000, 0.000], [0.000, 0.500, 0.267], [0.500, 0.000, 0.733], [0.500, 0.500, 0.500], [0.500, 0.500, 0.000], [0.500, 0.000, 0.253], [0.000, 0.000, 0.500], [0.000, 0.500, 0.747]], "space_group": "P-4m2", "e_tot_ev_per_atom": -3.535}

***

{"formula": "Li2Mg2In2IrAu", "functional": "PBE-GGA", "state": "optimized geometry", "lattice_angstrom": [[4.608, 0.000, 0.000], [0.000, 4.608, 0.000], [0.000, 0.000, 6.568]], "species": ["Au", "In", "In", "Ir", "Li", "Li", "Mg", "Mg"], "fractional_positions": [[0.000, 0.000, 0.500], [0.500, 0.000, 0.236], [0.000, 0.500, 0.764], [0.500, 0.500, 0.000], [0.000, 0.000, 0.000], [0.500, 0.500, 0.500], [0.000, 0.500, 0.240], [0.500, 0.000, 0.760]], "space_group": "P-4m2", "e_tot_ev_per_atom": -3.495}

***

{"formula": "Li2Sc2In2IrAu", "functional": "PBE-GGA", "state": "optimized geometry", "lattice_angstrom": [[4.636, 0.000, 0.000], [0.000, 4.636, 0.000], [0.000, 0.000, 6.650]], "species": ["Au", "In", "In", "Ir", "Li", "Li", "Sc", "Sc"], "fractional_positions": [[0.000, 0.000, 0.000], [0.500, 0.000, 0.258], [0.000, 0.500, 0.742], [0.500, 0.500, 0.500], [0.500, 0.500, 0.000], [0.000, 0.000, 0.500], [0.000, 0.500, 0.265], [0.500, 0.000, 0.735]], "space_group": "P-4m2", "e_tot_ev_per_atom": -4.854}